Here is a relaxed structure of Ac6CoIrPb2 from Alexandria via LeMat-Bulk. Energies are from PBE.

Lattice parameters (Å, degrees): 8.0139 8.0139 38.1246 90.00 90.00 120.00
Closest atoms and distances in Å follow each position.
Space group R-3m (No. 166, hexagonal axes)
Inequivalent atoms, fractional coordinates:
Ac  0.0035  0.5017  0.2092  1 Co 2.81, 1 Ir 2.90
Ac  0.0238  0.5119  0.3724  1 Co 2.89, 1 Ir 2.91
Co  0.0000  0.0000  0.0000  6 Ac 2.89, 2 Ir 3.01
Co  0.0000  0.0000  0.5000  6 Ac 2.81
Ir  0.0000  0.0000  0.0790  6 Ac 2.90-2.91, 1 Co 3.01
Pb  0.0000  0.0000  0.2081  12 Ac 3.92-4.01
Pb  0.0000  0.0000  0.3766  12 Ac 3.81-4.01

Computed properties:
Magnetization in μB/f.u.: 0.0
Energy of formation in eV per atom: -0.384
Uncorrected energy in eV per atom: -5.1877